1.
Computed, not measured: crystalline Ho2Al9Rh3 at its relaxed geometry at the GGA-PBE level of DFT.

Output
**Energy relative to the elements**: -0.833 eV per atom

a = 7.5692 Å, b = 7.5692 Å, c = 10.4293 Å
α = 89.87°, β = 111.18°, γ = 120.35°
With the nearest neighbours (Å) after each atom.
Fractional positions:
1 Ho 0.3367 0.2477 0.7502  11 Al 3.02-3.12
2 Ho 0.6633 0.7523 0.2498  11 Al 3.02-3.12
3 Ho 0.9975 0.5865 0.7498  11 Al 3.02-3.12
4 Ho 0.0025 0.4135 0.2502  11 Al 3.02-3.12
5 Al 0.4589 0.9196 0.7477  2 Rh 2.55-2.57, 5 Al 2.75-2.79
6 Al 0.5411 0.0804 0.2523  2 Rh 2.55-2.57, 5 Al 2.75-2.79
7 Al 0.6719 0.7111 0.7523  2 Rh 2.55-2.57, 5 Al 2.75-2.79
8 Al 0.3281 0.2889 0.2477  2 Rh 2.55-2.57, 5 Al 2.75-2.79
9 Al 0.4496 0.6417 0.9251  3 Rh 2.55-2.62, 3 Al 2.77-2.79
10 Al 0.5504 0.3583 0.0749  3 Rh 2.55-2.62, 3 Al 2.77-2.79
11 Al 0.2166 0.5245 0.5749  3 Rh 2.55-2.62, 3 Al 2.77-2.79
12 Al 0.7834 0.4755 0.4251  3 Rh 2.55-2.62, 3 Al 2.77-2.79
13 Al 0.8815 0.1315 0.7500  2 Rh 2.56, 4 Al 2.75-2.77
14 Al 0.1185 0.8685 0.2500  2 Rh 2.56, 4 Al 2.75-2.77
15 Al 0.1321 0.9840 0.9463  3 Rh 2.57-2.63, 4 Al 2.72-2.85
16 Al 0.8679 0.0160 0.0537  3 Rh 2.57-2.63, 4 Al 2.72-2.85
17 Al 0.5376 0.1858 0.5537  3 Rh 2.57-2.63, 4 Al 2.72-2.85
18 Al 0.4624 0.8142 0.4463  3 Rh 2.57-2.63, 4 Al 2.72-2.85
19 Al 0.8804 0.8586 0.5721  3 Rh 2.57-2.61, 4 Al 2.76-2.86
20 Al 0.1196 0.1414 0.4279  3 Rh 2.57-2.61, 4 Al 2.76-2.86
21 Al 0.7865 0.3083 0.9279  3 Rh 2.57-2.61, 4 Al 2.76-2.86
22 Al 0.2135 0.6917 0.0721  3 Rh 2.57-2.61, 4 Al 2.76-2.86
23 Rh 0.5000 0.0000 0.0000  8 Al 2.57-2.62
24 Rh 0.5000 0.5000 0.5000  8 Al 2.57-2.62
25 Rh 0.8431 0.1719 0.4992  8 Al 2.55-2.63
26 Rh 0.1569 0.8281 0.5008  8 Al 2.55-2.63
27 Rh 0.1727 0.3440 0.0008  8 Al 2.55-2.63
28 Rh 0.8273 0.6560 0.9992  8 Al 2.55-2.63



2.
Computed, not measured: crystalline BeRh2Se at its relaxed geometry at the GGA-PBE level of DFT.

Output
**Formation energy from raw total energies**: -0.1101 eV per atom
**Offset from the most stable computed form**: 94 meV per atom

a = 4.2063 Å, b = 4.2063 Å, c = 4.8387 Å
α = 77.79°, β = 77.79°, γ = 40.95°
With the nearest neighbours (Å) after each atom.
Fractional positions:
1 Be 0.2500 0.2500 0.2500  6 Rh 2.46-2.58
2 Rh 0.9881 0.9881 0.0127  3 Be 2.46-2.58, 3 Se 2.49-2.62
3 Rh 0.5119 0.5119 0.4873  3 Be 2.46-2.58, 3 Se 2.49-2.62
4 Se 0.7500 0.7500 0.7500  6 Rh 2.49-2.62



3.
Computed, not measured: crystalline LaTlW2N at its relaxed geometry at the GGA-PBE level of DFT.

Output
**Formation energy from raw total energies**: 0.2882 eV per atom

a = 4.2687 Å, b = 5.1293 Å, c = 4.2687 Å
α = 90.00°, β = 90.00°, γ = 90.00°
With the nearest neighbours (Å) after each atom.
Fractional positions:
1 Tl 0.5000 0.5000 0.5000  4 La 3.02, 8 W 3.34
2 N 0.0000 0.0000 0.0000  4 W 2.13
3 W 0.0000 0.0000 0.5000  2 N 2.13
4 W 0.5000 0.0000 0.0000  2 N 2.13
5 La 0.0000 0.5000 0.0000  2 N 2.56



M_tot readings, ordered: 0.00; 0.00; 0.00 μB per cell
Mass density readings, ordered: 6.247; 8.924; 12.880 g cm⁻³
Energy readings, ordered: -153.10; -22.35; -40.08 eV for the cell shown